#A
The following is a GGA-PBE calculation of an optimized crystal structure of PmSmAlSn, from Alexandria via LeMat-Bulk.

```
data_PmSmAlSn
_symmetry_space_group_name_H-M 'F -4 3 m'
_symmetry_Int_Tables_number 216
_symmetry_space_group_name_Hall 'F -4 2 3'
_cell_length_a 7.565
_cell_length_b 7.565
_cell_length_c 7.565
_cell_angle_alpha 90.00
_cell_angle_beta 90.00
_cell_angle_gamma 90.00
loop_
_atom_site_label
_atom_site_fract_x
_atom_site_fract_y
_atom_site_fract_z
Pm1 0.000 0.000 0.000
Sm1 0.000 0.000 0.500
Al1 0.250 0.250 0.750
Sn1 0.250 0.250 0.250
```



#B
The following is a GGA-PBE calculation of an optimized crystal structure of PmSmAlSn, from Alexandria via LeMat-Bulk.

```
data_PmSmAlSn
_symmetry_space_group_name_H-M 'I m m 2'
_symmetry_Int_Tables_number 44
_cell_length_a 4.133
_cell_length_b 4.831
_cell_length_c 10.772
_cell_angle_alpha 90.00
_cell_angle_beta 90.00
_cell_angle_gamma 90.00
loop_
_symmetry_equiv_pos_as_xyz
'x,y,z'
'-x,-y,z'
'-x,y,z'
'x,-y,z'
'x+1/2,y+1/2,z+1/2'
'-x+1/2,-y+1/2,z+1/2'
'-x+1/2,y+1/2,z+1/2'
'x+1/2,-y+1/2,z+1/2'
loop_
_atom_site_label
_atom_site_fract_x
_atom_site_fract_y
_atom_site_fract_z
Pm1 0.000 0.000 0.000
Sm1 0.000 0.500 0.765
Al1 0.000 0.000 0.539
Sn1 0.000 0.500 0.226
```



Which structure is most stable? #B, by 0.076 eV/atom over the runner-up.



#A
The following is a GGA-PBE calculation of an optimized crystal structure of TbPmSmAl, from Alexandria via LeMat-Bulk.

```
data_TbPmSmAl
_symmetry_space_group_name_H-M 'P m m m'
_symmetry_Int_Tables_number 47
_cell_length_a 4.821
_cell_length_b 4.832
_cell_length_c 4.848
_cell_angle_alpha 90.00
_cell_angle_beta 90.00
_cell_angle_gamma 90.00
loop_
_symmetry_equiv_pos_as_xyz
'x,y,z'
'-x,-y,-z'
'-x,-y,z'
'x,y,-z'
'x,-y,-z'
'-x,y,z'
'-x,y,-z'
'x,-y,z'
loop_
_atom_site_label
_atom_site_fract_x
_atom_site_fract_y
_atom_site_fract_z
Tb1 0.000 0.000 0.000
Pm1 0.500 0.000 0.500
Sm1 0.000 0.500 0.500
Al1 0.500 0.500 0.000
```



#B
The following is a GGA-PBE calculation of an optimized crystal structure of TbPmSmAl, from Alexandria via LeMat-Bulk.

```
data_TbPmSmAl
_symmetry_space_group_name_H-M 'F -4 3 m'
_symmetry_Int_Tables_number 216
_symmetry_space_group_name_Hall 'F -4 2 3'
_cell_length_a 7.681
_cell_length_b 7.681
_cell_length_c 7.681
_cell_angle_alpha 90.00
_cell_angle_beta 90.00
_cell_angle_gamma 90.00
loop_
_atom_site_label
_atom_site_fract_x
_atom_site_fract_y
_atom_site_fract_z
Tb1 0.000 0.000 0.000
Pm1 0.250 0.250 0.750
Sm1 0.250 0.250 0.250
Al1 0.000 0.000 0.500
```



Which structure is most stable? #A, by 0.123 eV/atom over the runner-up.



#A
The following is a GGA-PBE calculation of an optimized crystal structure of PmSmAlTl, from Alexandria via LeMat-Bulk.

```
data_PmSmAlTl
_symmetry_space_group_name_H-M 'P 4 m m'
_symmetry_Int_Tables_number 99
_cell_length_a 3.740
_cell_length_b 3.740
_cell_length_c 7.783
_cell_angle_alpha 90.00
_cell_angle_beta 90.00
_cell_angle_gamma 90.00
loop_
_symmetry_equiv_pos_as_xyz
'x,y,z'
'-y,x,z'
'-x,-y,z'
'y,-x,z'
'-x,y,z'
'y,x,z'
'x,-y,z'
'-y,-x,z'
loop_
_atom_site_label
_atom_site_fract_x
_atom_site_fract_y
_atom_site_fract_z
Pm1 0.000 0.000 0.000
Sm1 0.000 0.000 0.473
Al1 0.500 0.500 0.238
Tl1 0.500 0.500 0.734
```



#B
The following is a GGA-PBE calculation of an optimized crystal structure of PmSmAlTl, from Alexandria via LeMat-Bulk.

```
data_PmSmAlTl
_symmetry_space_group_name_H-M 'F -4 3 m'
_symmetry_Int_Tables_number 216
_symmetry_space_group_name_Hall 'F -4 2 3'
_cell_length_a 7.581
_cell_length_b 7.581
_cell_length_c 7.581
_cell_angle_alpha 90.00
_cell_angle_beta 90.00
_cell_angle_gamma 90.00
loop_
_atom_site_label
_atom_site_fract_x
_atom_site_fract_y
_atom_site_fract_z
Pm1 0.000 0.000 0.000
Sm1 0.000 0.000 0.500
Al1 0.250 0.250 0.750
Tl1 0.250 0.250 0.250
```



Which structure is most stable? #A, by 0.019 eV/atom over the runner-up.



#A
The following is a GGA-PBE calculation of an optimized crystal structure of PmAlSn, from Alexandria via LeMat-Bulk.

```
data_PmAlSn
_symmetry_space_group_name_H-M 'P 3 m 1'
_symmetry_Int_Tables_number 156
_cell_length_a 4.5250
_cell_length_b 4.5250
_cell_length_c 4.2812
_cell_angle_alpha 90.00
_cell_angle_beta 90.00
_cell_angle_gamma 120.00
loop_
_symmetry_equiv_pos_as_xyz
'x,y,z'
'-y,x-y,z'
'-x+y,-x,z'
'-y,-x,z'
'-x+y,y,z'
'x,x-y,z'
loop_
_atom_site_label
_atom_site_fract_x
_atom_site_fract_y
_atom_site_fract_z
Pm1 0.0000 0.0000 0.0000
Al1 0.3333 0.6667 0.4178
Sn1 0.6667 0.3333 0.5426
```



#B
The following is a GGA-PBE calculation of an optimized crystal structure of PmAlSn, from Alexandria via LeMat-Bulk.

```
data_PmAlSn
_symmetry_space_group_name_H-M 'I 4 m m'
_symmetry_Int_Tables_number 107
_symmetry_space_group_name_Hall 'I 4 -2'
_cell_length_a 4.306
_cell_length_b 4.306
_cell_length_c 8.829
_cell_angle_alpha 90.00
_cell_angle_beta 90.00
_cell_angle_gamma 90.00
loop_
_atom_site_label
_atom_site_fract_x
_atom_site_fract_y
_atom_site_fract_z
Pm1 0.000 0.000 0.000
Al1 0.000 0.000 0.656
Sn1 0.000 0.000 0.346
```



#C
The following is a GGA-PBE calculation of an optimized crystal structure of PmAlSn, from Alexandria via LeMat-Bulk.

```
data_PmAlSn
_symmetry_space_group_name_H-M 'P n m a'
_symmetry_Int_Tables_number 62
_cell_length_a 7.367
_cell_length_b 4.476
_cell_length_c 8.952
_cell_angle_alpha 90.00
_cell_angle_beta 90.00
_cell_angle_gamma 90.00
loop_
_symmetry_equiv_pos_as_xyz
'x,y,z'
'-x,-y,-z'
'-x+1/2,-y,z+1/2'
'x+1/2,y,-z+1/2'
'x+1/2,-y+1/2,-z+1/2'
'-x+1/2,y+1/2,z+1/2'
'-x,y+1/2,-z'
'x,-y+1/2,z'
loop_
_atom_site_label
_atom_site_fract_x
_atom_site_fract_y
_atom_site_fract_z
Pm1 0.001 0.250 0.183
Al1 0.205 0.250 0.596
Sn1 0.196 0.750 0.408
```



Which structure is most stable? #C, by 0.016 eV/atom over the runner-up.



#A
The following is a GGA-PBE calculation of an optimized crystal structure of PmAl2Sn, from Alexandria via LeMat-Bulk.

```
data_PmAl2Sn
_symmetry_space_group_name_H-M 'R -3 m'
_symmetry_Int_Tables_number 166
_symmetry_space_group_name_Hall '-R 3 2"'
_cell_length_a 4.6830
_cell_length_b 4.6830
_cell_length_c 15.3868
_cell_angle_alpha 90.00
_cell_angle_beta 90.00
_cell_angle_gamma 120.00
loop_
_atom_site_label
_atom_site_fract_x
_atom_site_fract_y
_atom_site_fract_z
Pm1 0.0000 0.0000 0.0000
Al1 0.0000 0.0000 0.2163
Sn1 0.0000 0.0000 0.5000
```



#B
The following is a GGA-PBE calculation of an optimized crystal structure of PmAl2Sn, from Alexandria via LeMat-Bulk.

```
data_PmAl2Sn
_symmetry_space_group_name_H-M 'P 4/m m m'
_symmetry_Int_Tables_number 123
_symmetry_space_group_name_Hall '-P 4 2'
_cell_length_a 4.506
_cell_length_b 4.506
_cell_length_c 4.441
_cell_angle_alpha 90.00
_cell_angle_beta 90.00
_cell_angle_gamma 90.00
loop_
_atom_site_label
_atom_site_fract_x
_atom_site_fract_y
_atom_site_fract_z
Pm1 0.000 0.000 0.000
Al1 0.000 0.500 0.500
Sn1 0.500 0.500 0.000
```



Which structure is most stable? #B, by 0.238 eV/atom over the runner-up.



#A
The following is a GGA-PBE calculation of an optimized crystal structure of PmYAlSn, from Alexandria via LeMat-Bulk.

```
data_PmYAlSn
_symmetry_space_group_name_H-M 'A m m 2'
_symmetry_Int_Tables_number 38
_cell_length_a 4.238
_cell_length_b 4.546
_cell_length_c 11.400
_cell_angle_alpha 90.00
_cell_angle_beta 90.00
_cell_angle_gamma 90.00
loop_
_symmetry_equiv_pos_as_xyz
'x,y,z'
'-x,-y,z'
'-x,y,z'
'x,-y,z'
'x,y+1/2,z+1/2'
'-x,-y+1/2,z+1/2'
'-x,y+1/2,z+1/2'
'x,-y+1/2,z+1/2'
loop_
_atom_site_label
_atom_site_fract_x
_atom_site_fract_y
_atom_site_fract_z
Pm1 0.000 0.000 0.000
Y1 0.500 0.000 0.279
Al1 0.500 0.000 0.558
Sn1 0.000 0.000 0.717
```



#B
The following is a GGA-PBE calculation of an optimized crystal structure of PmYAlSn, from Alexandria via LeMat-Bulk.

```
data_PmYAlSn
_symmetry_space_group_name_H-M 'F -4 3 m'
_symmetry_Int_Tables_number 216
_symmetry_space_group_name_Hall 'F -4 2 3'
_cell_length_a 7.500
_cell_length_b 7.500
_cell_length_c 7.500
_cell_angle_alpha 90.00
_cell_angle_beta 90.00
_cell_angle_gamma 90.00
loop_
_atom_site_label
_atom_site_fract_x
_atom_site_fract_y
_atom_site_fract_z
Pm1 0.000 0.000 0.000
Y1 0.000 0.000 0.500
Al1 0.250 0.250 0.250
Sn1 0.250 0.250 0.750
```



Which structure is most stable? #A, by 0.169 eV/atom over the runner-up.